(w)
This record from Alexandria describes a geometry-optimized CaVAu structure. The functional is PBE-GGA.

Unit cell a=4.5181 b=5.3639 c=5.9080 alpha=90.00 beta=112.40 gamma=90.00
With the nearest neighbours (Å) after each atom.
Element x y z (fractional)
Ca 0.2104 0.2500 0.4204  5 Au 3.05-3.24
Ca 0.7896 0.7500 0.5796  5 Au 3.05-3.24
V 0.5000 0.0000 0.0000  2 V 2.68, 4 Au 2.76
V 0.5000 0.5000 0.0000  2 V 2.68, 4 Au 2.76
Au 0.0772 0.7500 0.1545  4 V 2.76, 2 Ca 3.05
Au 0.9228 0.2500 0.8455  4 V 2.76, 2 Ca 3.05

Properties
Symmetry: P2_1/m (11)


(x)
This record from Alexandria describes a geometry-optimized CaVAu structure. The functional is PBE-GGA.

Unit cell a=8.6150 b=3.2257 c=9.1733 alpha=90.00 beta=90.00 gamma=90.00
With the nearest neighbours (Å) after each atom.
Element x y z (fractional)
Ca 0.1694 0.2500 0.0894  5 Au 3.00-3.14, 4 V 3.18-3.30, 2 Ca 3.23
Ca 0.3306 0.7500 0.5894  5 Au 3.00-3.14, 4 V 3.18-3.30, 2 Ca 3.23
Ca 0.6694 0.2500 0.4106  5 Au 3.00-3.14, 4 V 3.18-3.30, 2 Ca 3.23
Ca 0.8306 0.7500 0.9106  5 Au 3.00-3.14, 4 V 3.18-3.30, 2 Ca 3.23
V 0.0510 0.2500 0.4175  2 V 2.38
V 0.4490 0.7500 0.9175  2 V 2.38
V 0.5510 0.2500 0.0825  2 V 2.38
V 0.9490 0.7500 0.5825  2 V 2.38
Au 0.1040 0.2500 0.7678  2 V 2.70, 3 Ca 3.00-3.02
Au 0.3960 0.7500 0.2678  2 V 2.70, 3 Ca 3.00-3.02
Au 0.6040 0.2500 0.7322  2 V 2.70, 3 Ca 3.00-3.02
Au 0.8960 0.7500 0.2322  2 V 2.70, 3 Ca 3.00-3.02

Properties
Symmetry: Pnma (62)


(y)
This record from Alexandria describes a geometry-optimized CaVAu structure. The functional is PBE-GGA.

Unit cell a=4.7268 b=4.7268 c=6.9462 alpha=90.00 beta=90.00 gamma=120.00
With the nearest neighbours (Å) after each atom.
Element x y z (fractional)
Ca 0.0000 0.0000 0.0000  6 V 3.23, 6 Au 3.23, 2 Ca 3.47
Ca 0.0000 0.0000 0.5000  6 Au 3.23, 6 V 3.23, 2 Ca 3.47
V 0.3333 0.6667 0.2500  3 Au 2.73
V 0.6667 0.3333 0.7500  3 Au 2.73
Au 0.3333 0.6667 0.7500  3 V 2.73
Au 0.6667 0.3333 0.2500  3 V 2.73

Properties
Symmetry: P6_3/mmc (194)


Which of them is most stable, and which least? Most stable: (w); least stable: (y).


(w)
This record from Alexandria describes a geometry-optimized CaVAu structure. The functional is PBE-GGA.

Unit cell a=5.8011 b=5.8011 c=4.4135 alpha=108.73 beta=108.73 gamma=76.89
With the nearest neighbours (Å) after each atom.
Element x y z (fractional)
Ca 0.1882 0.1882 0.4355  5 Au 3.01-3.33, 4 V 3.21-3.32
Ca 0.8118 0.8118 0.5645  5 Au 3.01-3.33, 4 V 3.21-3.32
V 0.5989 0.2831 0.1353  1 V 1.90
V 0.7169 0.4011 0.8647  1 V 1.90
Au 0.1665 0.5861 0.1235  2 V 2.71-2.80, 1 Au 2.87, 1 Ca 3.01
Au 0.4139 0.8335 0.8765  2 V 2.71-2.80, 1 Au 2.87, 1 Ca 3.01

Properties
Symmetry: C2 (5)


(x)
This record from Alexandria describes a geometry-optimized CaVAu structure. The functional is PBE-GGA.

Unit cell a=4.7061 b=4.7061 c=4.7061 alpha=60.00 beta=60.00 gamma=60.00
With the nearest neighbours (Å) after each atom.
Element x y z (fractional)
Ca 0.0000 0.0000 0.0000  4 V 2.88
V 0.7500 0.7500 0.7500  4 Au 2.88, 4 Ca 2.88
Au 0.5000 0.5000 0.5000  4 V 2.88

Properties
Symmetry: F-43m (216)


Which of them is most stable, and which least? Most stable: (w); least stable: (x).


(w)
This record from Alexandria describes a geometry-optimized CaV3Au structure. The functional is PBE-GGA.

Unit cell a=5.0221 b=5.0221 c=5.0221 alpha=90.00 beta=90.00 gamma=90.00
With the nearest neighbours (Å) after each atom.
Element x y z (fractional)
Ca 0.0000 0.0000 0.0000  12 V 3.55
V 0.0000 0.5000 0.5000  2 Au 2.51
V 0.5000 0.0000 0.5000  2 Au 2.51
V 0.5000 0.5000 0.0000  2 Au 2.51
Au 0.5000 0.5000 0.5000  6 V 2.51

Properties
Symmetry: Pm-3m (221)


(x)
This record from Alexandria describes a geometry-optimized CaV3Au structure. The functional is PBE-GGA.

Unit cell a=4.4225 b=4.4225 c=4.4225 alpha=90.00 beta=90.00 gamma=90.00
With the nearest neighbours (Å) after each atom.
Element x y z (fractional)
Ca 0.0000 0.0000 0.0000  6 V 2.21
V 0.0000 0.0000 0.5000  2 Ca 2.21
V 0.0000 0.5000 0.0000  2 Ca 2.21
V 0.5000 0.0000 0.0000  2 Ca 2.21
Au 0.5000 0.5000 0.5000  12 V 3.13

Properties
Symmetry: Pm-3m (221)


Which of them is most stable, and which least? Most stable: (w); least stable: (x).


(w)
This record from Alexandria describes a geometry-optimized CaVAu2 structure. The functional is PBE-GGA.

Unit cell a=4.8615 b=4.8615 c=4.8615 alpha=60.00 beta=60.00 gamma=60.00
With the nearest neighbours (Å) after each atom.
Element x y z (fractional)
Ca 0.0000 0.0000 0.0000  8 Au 2.98
V 0.5000 0.5000 0.5000  8 Au 2.98
Au 0.2500 0.2500 0.2500  4 Ca 2.98, 4 V 2.98
Au 0.7500 0.7500 0.7500  4 Ca 2.98, 4 V 2.98

Properties
Symmetry: Fm-3m (225)


(x)
This record from Alexandria describes a geometry-optimized CaVAu2 structure. The functional is PBE-GGA.

Unit cell a=9.3345 b=9.3345 c=9.3345 alpha=149.28 beta=149.28 gamma=44.01
With the nearest neighbours (Å) after each atom.
Element x y z (fractional)
Ca 0.0000 0.0000 0.0000  4 Au 3.02
Ca 0.7500 0.2500 0.5000  4 Au 3.02
V 0.2500 0.7500 0.5000  4 Au 2.61
V 0.5000 0.5000 0.0000  4 Au 2.61
Au 0.2205 0.6250 0.0955  2 V 2.61, 2 Au 2.91
Au 0.3750 0.4705 0.5955  2 V 2.61, 2 Au 2.91
Au 0.5295 0.1250 0.9045  2 V 2.61, 2 Au 2.91
Au 0.8750 0.7795 0.4045  2 V 2.61, 2 Au 2.91

Properties
Symmetry: I-42d (122)


Which of them is most stable, and which least? Most stable: (w); least stable: (x).